[1]
VASP calculation (meta-GGA SCAN) on a PBEsol-optimized structure of Al3Fe4.

The space group is I4/mmm (No. 139) and the conventional cell measures 2.937, 2.937 and 19.625 Å, with angles of 90.00, 90.00 and 90.00 degrees. Symmetry generates all atoms from Al at (0.000, 0.000, 0.000), Al at (0.000, 0.000, 0.296), Fe at (0.000, 0.000, 0.137) and Fe at (0.000, 0.000, 0.428).



[2]
VASP calculation (meta-GGA SCAN) on a PBEsol-optimized structure of AlFe.

The space group is Cm (No. 8) and the conventional cell measures 9.039, 2.886 and 5.798 Å, with angles of 90.00, 108.12 and 90.00 degrees. Symmetry generates all atoms from Al at (0.000, 0.000, 0.000), Al at (0.014, 0.000, 0.547), Al at (0.201, 0.500, 0.355), Fe at (0.193, 0.500, 0.886), Fe at (0.332, 0.000, 0.692) and Fe at (0.367, 0.000, 0.200).



[3]
VASP calculation (meta-GGA SCAN) on a PBEsol-optimized structure of Al5Fe.

The space group is Amm2 (No. 38) and the conventional cell measures 4.344, 2.878 and 13.754 Å, with angles of 90.00, 90.00 and 90.00 degrees. Symmetry generates all atoms from Al at (0.000, 0.000, 0.000), Al at (0.000, 0.000, 0.306), Al at (0.500, 0.000, 0.106), Al at (0.500, 0.000, 0.430), Al at (0.500, 0.000, 0.763) and Fe at (0.000, 0.000, 0.657).



[4]
VASP calculation (meta-GGA SCAN) on a PBEsol-optimized structure of AlFe2.

The space group is Immm (No. 71) and the conventional cell measures 2.562, 3.637 and 7.588 Å, with angles of 90.00, 90.00 and 90.00 degrees. Symmetry generates all atoms from Al at (0.000, 0.000, 0.000) and Fe at (0.000, 0.000, 0.334).



[5]
VASP calculation (meta-GGA SCAN) on a PBEsol-optimized structure of AlFe.

The space group is I4_1/amd (No. 141, origin choice 2) and the conventional cell measures 3.571, 3.571 and 7.713 Å, with angles of 90.00, 90.00 and 90.00 degrees. Symmetry generates all atoms from Al at (0.000, 0.250, 0.375) and Fe at (0.000, 0.250, 0.875).



[6]
VASP calculation (meta-GGA SCAN) on a PBEsol-optimized structure of AlFe.

The space group is P6_3/mmc (No. 194) and the conventional cell measures 3.9440, 3.9440 and 4.1585 Å, with angles of 90.00, 90.00 and 120.00 degrees. Symmetry generates all atoms from Al at (0.3333, 0.6667, 0.2500) and Fe at (0.0000, 0.0000, 0.0000).



no.,volume (Å³/f.u.),ΔE_f (kcal/mol of atoms)
1,85,-6.1
2,24,-6.2
3,86,-0.3
4,35,-5.1
5,25,-7.4
6,28,8.6